(1)
A geometry-optimized BaMg2InGa4 structure, computed with PBE.

Cell: 4.8750 4.8750 10.0352 Å, 75.94 75.94 60.00°
Fractional positions:
Ga  0.1238  0.1238  0.6285
Ga  0.8762  0.8762  0.3715
Ga  0.4036  0.4036  0.7891
Ga  0.5964  0.5964  0.2109
Ba  0.0000  0.0000  0.0000
Mg  0.2331  0.2331  0.3007
Mg  0.7669  0.7669  0.6993
In  0.5000  0.5000  0.5000

Calculated values
Calculated total energy ... -2.6876 eV/atom
Magnetic moment ... 0.000 μB per atom


(2)
A geometry-optimized NbGePt structure, computed with PBE.

Cell: 3.9275 6.6432 11.3265 Å, 89.00 90.00 90.00°
Fractional positions:
Nb  0.2500  0.3431  0.9200
Nb  0.7500  0.5320  0.3934
Nb  0.2500  0.9697  0.7119
Nb  0.7500  0.6569  0.0800
Nb  0.7500  0.0303  0.2881
Nb  0.2500  0.4680  0.6066
Pt  0.7500  0.6216  0.7962
Pt  0.7500  0.0077  0.9105
Pt  0.2500  0.3784  0.2038
Pt  0.2500  0.8439  0.4572
Pt  0.2500  0.9923  0.0895
Pt  0.7500  0.1561  0.5428
Ge  0.2500  0.7481  0.9154
Ge  0.7500  0.2519  0.0846
Ge  0.7500  0.2656  0.7500
Ge  0.7500  0.7648  0.5905
Ge  0.2500  0.7344  0.2500
Ge  0.2500  0.2352  0.4095

Calculated values
Calculated total energy ... -7.4379 eV/atom
Magnetic moment ... 0.000 μB per atom


(3)
A geometry-optimized Zn8Ag3 structure, computed with PBE.

Cell: 3.7443 4.8935 10.4407 Å, 102.26 90.00 112.49°
Fractional positions:
Zn  0.4559  0.9118  0.1823
Zn  0.3625  0.7250  0.5476
Zn  0.6375  0.2750  0.4524
Zn  0.2719  0.5438  0.9097
Zn  0.7281  0.4562  0.0903
Zn  0.5441  0.0882  0.8177
Zn  0.1809  0.3619  0.2711
Zn  0.8191  0.6381  0.7289
Ag  0.0931  0.1862  0.6392
Ag  0.0000  0.0000  0.0000
Ag  0.9069  0.8138  0.3608

Calculated values
Calculated total energy ... -1.7156 eV/atom
Magnetic moment ... 0.000 μB per atom


(4)
A geometry-optimized PmAlRh2 structure, computed with PBE.

Cell: 3.4843 4.4994 4.4994 Å, 90.00 90.00 90.00°
Fractional positions:
Al  0.5000  0.0000  0.0000
Rh  0.0000  0.5000  0.0000
Rh  0.0000  0.0000  0.5000
Pm  0.5000  0.5000  0.5000

Calculated values
Calculated total energy ... -6.5287 eV/atom
Magnetic moment ... 0.000 μB per atom


(5)
A geometry-optimized KCr2Tc structure, computed with PBE.

Cell: 4.4576 4.4576 4.4576 Å, 60.00 60.00 60.00°
Fractional positions:
Tc  0.5000  0.5000  0.5000
Cr  0.2500  0.2500  0.2500
Cr  0.7500  0.7500  0.7500
K  0.0000  0.0000  0.0000

Calculated values
Magnetic moment ... 0.000 μB per atom
Energy above the most stable polymorph in this dataset ... 0.8941 eV per atom


(6)
A geometry-optimized PrDy3Er6Tm2 structure, computed with PBE.

Cell: 6.1055 6.1055 11.6944 Å, 94.98 94.98 119.94°
Fractional positions:
Pr  0.0000  0.0000  0.0000
Tm  0.3333  0.6667  0.0000
Tm  0.6667  0.3333  0.0000
Er  0.9162  0.5819  0.7491
Er  0.2507  0.2507  0.7492
Er  0.7493  0.7493  0.2508
Er  0.5819  0.9162  0.7491
Er  0.4181  0.0838  0.2509
Er  0.0838  0.4181  0.2509
Dy  0.1670  0.8330  0.5000
Dy  0.5000  0.5000  0.5000
Dy  0.8330  0.1670  0.5000

Calculated values
Calculated total energy ... -4.5542 eV/atom
Magnetic moment ... 0.000 μB per atom


(7)
A geometry-optimized MgCd5Ag8 structure, computed with PBE.

Cell: 7.1834 7.1834 7.1834 Å, 110.33 107.76 110.33°
Fractional positions:
Cd  0.7903  0.6700  0.7013
Cd  0.0313  0.3300  0.1203
Cd  0.5000  0.0000  0.5000
Cd  0.8797  0.9110  0.2097
Cd  0.2987  0.0890  0.9687
Mg  0.2500  0.5000  0.7500
Ag  0.3484  0.2827  0.4224
Ag  0.7529  0.2692  0.3494
Ag  0.5163  0.5965  0.2471
Ag  0.1397  0.7173  0.0658
Ag  0.6506  0.4035  0.9198
Ag  0.9342  0.0739  0.6516
Ag  0.5776  0.9261  0.8603
Ag  0.0802  0.7308  0.4837

Calculated values
Calculated total energy ... -2.0305 eV/atom
Magnetic moment ... 0.000 μB per atom


(8)
A geometry-optimized SrTm2Pd3 structure, computed with PBE.

Cell: 3.5108 3.5108 10.9238 Å, 90.00 90.00 90.00°
Fractional positions:
Pd  0.0000  0.0000  0.7048
Pd  0.0000  0.0000  0.2952
Pd  0.0000  0.0000  0.0000
Sr  0.5000  0.5000  0.5000
Tm  0.5000  0.5000  0.1592
Tm  0.5000  0.5000  0.8408

Calculated values
Calculated total energy ... -5.2035 eV/atom
Magnetic moment ... 0.000 μB per atom


(9)
A geometry-optimized CoIrRh6 structure, computed with PBE.

Cell: 3.8110 5.4013 5.4013 Å, 90.00 90.00 90.00°
Last column: magnetic moment on the atom in μB.
Fractional positions:
Rh  0.0000  0.2478  0.7522  0.12
Rh  0.0000  0.7524  0.7524  0.12
Rh  0.5000  0.0000  0.5000  0.14
Rh  0.5000  0.5000  0.0000  0.14
Rh  0.0000  0.7522  0.2478  0.12
Rh  0.0000  0.2476  0.2476  0.12
Ir  0.5000  0.5000  0.5000  -0.19
Co  0.5000  0.0000  0.0000  1.75

Calculated values
Magnetic moment ... 0.282 μB per atom
Energy above the most stable polymorph in this dataset ... 0.0000 eV per atom


(10)
A geometry-optimized NdZnPtAu structure, computed with PBE.

Cell: 4.8832 4.8832 4.8832 Å, 60.00 60.00 60.00°
Fractional positions:
Au  0.2500  0.2500  0.2500
Nd  0.0000  0.0000  0.0000
Pt  0.7500  0.7500  0.7500
Zn  0.5000  0.5000  0.5000

Calculated values
Magnetic moment ... 0.000 μB per atom
Energy above the most stable polymorph in this dataset ... 0.1260 eV per atom


(11)
A geometry-optimized CaPr4Sm3S8 structure, computed with PBE.

Cell: 8.0987 8.1383 8.0986 Å, 119.84 120.00 90.00°
Fractional positions:
S  0.2453  0.7394  0.9941
S  0.7488  0.7394  0.9941
S  0.2512  0.2606  0.0059
S  0.7547  0.2606  0.0059
S  0.7470  0.7410  0.4940
S  0.7546  0.2606  0.5093
S  0.2530  0.2590  0.5060
S  0.2454  0.7394  0.4907
Sm  0.0000  0.5000  0.5000
Sm  0.5000  0.5000  0.5000
Sm  0.5000  0.5000  0.0000
Pr  0.0000  0.0000  0.0000
Pr  0.5000  0.0000  0.0000
Pr  0.5000  0.0000  0.5000
Pr  0.0000  0.0000  0.5000
Ca  0.0000  0.5000  0.0000

Calculated values
Raw formation energy ... -2027 meV per atom
Magnetic moment ... 0.000 μB per atom


(12)
A geometry-optimized ThZn10Au2 structure, computed with PBE.

Cell: 5.4282 6.9050 6.9646 Å, 81.19 67.06 66.85°
Fractional positions:
Th  0.0000  0.0000  0.0000
Au  0.5000  0.5000  0.0000
Au  0.0000  0.5000  0.0000
Zn  0.3572  0.6472  0.6383
Zn  0.0045  0.3528  0.6383
Zn  0.4948  0.7872  0.2233
Zn  0.5052  0.2128  0.7767
Zn  0.7180  0.7872  0.7767
Zn  0.2820  0.2128  0.2233
Zn  0.5000  0.0000  0.5000
Zn  0.0000  0.0000  0.5000
Zn  0.6428  0.3528  0.3617
Zn  0.9955  0.6472  0.3617

Calculated values
Calculated total energy ... -2.2430 eV/atom
Magnetic moment ... 0.000 μB per atom


(13)
A geometry-optimized AlSb2Te structure, computed with PBE.

Cell: 5.2652 5.2652 5.2652 Å, 60.00 60.00 60.00°
Fractional positions:
Al  0.0000  0.0000  0.0000
Sb  0.7500  0.7500  0.7500
Sb  0.2500  0.2500  0.2500
Te  0.5000  0.5000  0.5000

Calculated values
Raw formation energy ... 324 meV per atom
Magnetic moment ... 0.000 μB per atom
Energy above the most stable polymorph in this dataset ... 0.4107 eV per atom


(14)
A geometry-optimized KGa structure, computed with PBE.

Cell: 11.4821 9.7679 4.5437 Å, 90.00 90.00 90.00°
Fractional positions:
K  0.5000  0.8496  0.5000
K  0.6798  0.3106  0.5000
K  0.0000  0.1504  0.0000
K  0.1798  0.6894  0.0000
K  0.3202  0.3106  0.5000
K  0.8202  0.6894  0.0000
Ga  0.7026  0.0255  0.0000
Ga  0.5000  0.1350  0.0000
Ga  0.2974  0.0255  0.0000
Ga  0.2026  0.9745  0.5000
Ga  0.7974  0.9745  0.5000
Ga  0.0000  0.8650  0.5000

Calculated values
Magnetic moment ... 0.000 μB per atom
Energy above the most stable polymorph in this dataset ... 0.0660 eV per atom


(15)
A geometry-optimized KMn2I4 structure, computed with PBE.

Cell: 7.6037 7.6037 7.6037 Å, 97.81 97.81 136.74°
Last column: magnetic moment on the atom in μB.
Fractional positions:
K  0.5000  0.5000  0.0000  0.00
I  0.0929  0.7175  0.8104  0.05
I  0.9071  0.2825  0.1896  0.05
I  0.7175  0.9071  0.6245  0.05
I  0.2825  0.0929  0.3755  0.05
Mn  0.2500  0.7500  0.5000  3.93
Mn  0.7500  0.2500  0.5000  3.93

Calculated values
Raw formation energy ... -557 meV per atom
Magnetic moment ... 1.286 μB per atom


(16)
A geometry-optimized DyScTcNi structure, computed with PBE.

Cell: 4.6665 4.6665 4.6665 Å, 60.00 60.00 60.00°
Fractional positions:
Dy  0.7500  0.7500  0.7500
Tc  0.0000  0.0000  0.0000
Sc  0.2500  0.2500  0.2500
Ni  0.5000  0.5000  0.5000

Calculated values
Calculated total energy ... -6.9704 eV/atom
Magnetic moment ... 0.000 μB per atom


(17)
A geometry-optimized CsInSnS3 structure, computed with PBE.

Cell: 4.1724 9.9331 10.6269 Å, 102.26 90.00 90.00°
Fractional positions:
S  0.7500  0.4185  0.1070
S  0.7500  0.8585  0.1513
S  0.2500  0.1415  0.8487
S  0.7500  0.1575  0.4973
S  0.2500  0.5815  0.8930
S  0.2500  0.8425  0.5027
Sn  0.2500  0.6126  0.1384
Sn  0.7500  0.3874  0.8616
In  0.2500  0.1018  0.6215
In  0.7500  0.8982  0.3785
Cs  0.2500  0.1679  0.1785
Cs  0.7500  0.8321  0.8215

Calculated values
Raw formation energy ... -698 meV per atom
Magnetic moment ... 0.000 μB per atom


(18)
A geometry-optimized V5MoC4 structure, computed with PBE.

Cell: 2.9483 5.9081 6.5814 Å, 75.06 102.94 90.00°
Fractional positions:
V  0.1649  0.1451  0.3298
V  0.1686  0.6701  0.3372
V  0.5000  0.5000  0.0000
V  0.8351  0.8549  0.6702
V  0.8314  0.3299  0.6628
C  0.0048  0.7336  0.0096
C  0.6729  0.9021  0.3458
C  0.3271  0.0979  0.6542
C  0.9952  0.2664  0.9904
Mo  0.5000  0.0000  0.0000

Calculated values
Calculated total energy ... -9.6705 eV/atom
Magnetic moment ... 0.000 μB per atom


(19)
A geometry-optimized KMgTl structure, computed with PBE.

Cell: 4.6844 5.1221 8.9147 Å, 90.00 105.23 90.00°
Fractional positions:
Tl  0.1423  0.2500  0.7845
Tl  0.8577  0.7500  0.2155
K  0.5774  0.7500  0.6548
K  0.4226  0.2500  0.3452
Mg  0.7514  0.2500  0.0028
Mg  0.2486  0.7500  0.9972

Calculated values
Magnetic moment ... 0.000 μB per atom
Energy above the most stable polymorph in this dataset ... 0.0320 eV per atom


(20)
A geometry-optimized Ag3SeI structure, computed with PBE.

Cell: 6.6009 9.1776 9.1776 Å, 86.86 89.30 89.30°
Fractional positions:
I  0.2500  0.4019  0.5981
I  0.2500  0.8745  0.1255
I  0.7500  0.5981  0.4019
I  0.7500  0.1255  0.8745
Ag  0.5443  0.5234  0.1490
Ag  0.9557  0.8510  0.4766
Ag  0.0443  0.1490  0.5234
Ag  0.5671  0.7406  0.6579
Ag  0.8757  0.4021  0.9225
Ag  0.4557  0.4766  0.8510
Ag  0.9329  0.3421  0.2594
Ag  0.0671  0.6579  0.7406
Ag  0.4329  0.2594  0.3421
Ag  0.3757  0.9225  0.4021
Ag  0.1243  0.5979  0.0775
Ag  0.6243  0.0775  0.5979
Se  0.2553  0.3264  0.0878
Se  0.7553  0.0878  0.3264
Se  0.2447  0.9122  0.6736
Se  0.7447  0.6736  0.9122

Calculated values
Raw formation energy ... -84 meV per atom
Magnetic moment ... 0.000 μB per atom


(21)
A geometry-optimized CdSe5 structure, computed with PBE.

Cell: 3.4696 3.4696 10.5545 Å, 90.00 90.00 90.00°
Fractional positions:
Se  0.0000  0.0000  0.1669
Se  0.0000  0.0000  0.8331
Se  0.5000  0.5000  0.6518
Se  0.5000  0.5000  0.3482
Se  0.0000  0.0000  0.5000
Cd  0.5000  0.5000  0.0000

Calculated values
Raw formation energy ... 391 meV per atom
Magnetic moment ... 0.000 μB per atom
Energy above the most stable polymorph in this dataset ... 0.4426 eV per atom


(22)
A geometry-optimized MoRuAu2 structure, computed with PBE.

Cell: 2.8523 4.8035 5.7415 Å, 55.68 90.00 90.00°
Fractional positions:
Mo  0.5000  0.5000  0.5000
Ru  0.0000  0.0000  0.5000
Au  0.5000  0.5000  0.0000
Au  0.0000  0.0000  0.0000

Calculated values
Magnetic moment ... 0.000 μB per atom
Energy above the most stable polymorph in this dataset ... 0.2374 eV per atom


(23)
A geometry-optimized Tl2MoSe structure, computed with PBE.

Cell: 4.2171 4.0400 5.7566 Å, 69.47 90.00 90.00°
Fractional positions:
Mo  0.0000  0.6949  0.4855
Tl  0.5000  0.2762  0.3226
Tl  0.0000  0.9672  0.9406
Se  0.5000  0.5617  0.7513

Calculated values
Raw formation energy ... 303 meV per atom
Magnetic moment ... 0.000 μB per atom
Energy above the most stable polymorph in this dataset ... 0.2267 eV per atom


(24)
A geometry-optimized PIrAuCl2 structure, computed with PBE.

Cell: 4.7591 4.7591 5.1681 Å, 90.00 90.00 90.00°
Last column: magnetic moment on the atom in μB.
Fractional positions:
Cl  0.5000  0.0000  0.0000  0.04
Cl  0.0000  0.5000  0.0000  0.04
Au  0.0000  0.0000  0.0000  -0.02
Ir  0.5000  0.5000  0.5000  1.83
P  0.0000  0.0000  0.5000  -0.12

Calculated values
Raw formation energy ... 1376 meV per atom
Magnetic moment ... 0.363 μB per atom
Energy above the most stable polymorph in this dataset ... 0.8748 eV per atom